# 1
## Li16Ag7Pd6 (GGA-PBE)

Data for a relaxed Li16Ag7Pd6 crystal.

Unit cell a=8.687 b=8.687 c=8.687 alpha=60.00 beta=60.00 gamma=60.00
Sites, in units of the cell vectors:
Li (0.114, 0.114, 0.114)
Li (0.114, 0.114, 0.658)
Li (0.114, 0.658, 0.114)
Li (0.120, 0.627, 0.627)
Li (0.342, 0.886, 0.886)
Li (0.373, 0.373, 0.373)
Li (0.373, 0.373, 0.880)
Li (0.373, 0.880, 0.373)
Li (0.627, 0.120, 0.627)
Li (0.627, 0.627, 0.120)
Li (0.627, 0.627, 0.627)
Li (0.658, 0.114, 0.114)
Li (0.880, 0.373, 0.373)
Li (0.886, 0.342, 0.886)
Li (0.886, 0.886, 0.342)
Li (0.886, 0.886, 0.886)
Ag (0.000, 0.000, 0.500)
Ag (0.000, 0.500, 0.000)
Ag (0.000, 0.500, 0.500)
Ag (0.500, 0.000, 0.000)
Ag (0.500, 0.000, 0.500)
Ag (0.500, 0.500, 0.000)
Ag (0.500, 0.500, 0.500)
Pd (0.258, 0.258, 0.742)
Pd (0.258, 0.742, 0.258)
Pd (0.258, 0.742, 0.742)
Pd (0.742, 0.258, 0.258)
Pd (0.742, 0.258, 0.742)
Pd (0.742, 0.742, 0.258)

Output
Total DFT energy (no corrections) (eV/atom): -3.10
Space group: Fm-3m
V (Å³/atom): 16.0
Formation enthalpy at 0 K (kJ/mol of formula units): -784



# 2
## La3Mg (GGA-PBE)

Data for a relaxed La3Mg crystal.

Unit cell a=6.126 b=6.126 c=3.725 alpha=90.00 beta=90.00 gamma=105.49
Sites, in units of the cell vectors:
La (0.000, 0.000, 0.000)
La (0.000, 0.500, 0.500)
La (0.500, 0.000, 0.500)
Mg (0.500, 0.500, 0.000)

Output
Total DFT energy (no corrections) (eV/atom): -4.11
Space group: Cmmm
V (Å³/atom): 33.7
Formation enthalpy at 0 K (kJ/mol of formula units): -7



# 3
## SmAlAg2Se4 (GGA-PBE)

Data for a relaxed SmAlAg2Se4 crystal.

Unit cell a=8.029 b=8.029 c=7.837 alpha=117.68 beta=117.68 gamma=92.17
Sites, in units of the cell vectors:
Sm (0.000, 0.500, 0.000)
Sm (0.500, 0.000, 0.500)
Al (0.000, 0.000, 0.000)
Al (0.000, 0.000, 0.500)
Ag (0.000, 0.500, 0.500)
Ag (0.500, 0.000, 0.000)
Ag (0.500, 0.500, 0.000)
Ag (0.500, 0.500, 0.500)
Se (0.221, 0.228, 0.441)
Se (0.222, 0.767, 0.501)
Se (0.228, 0.221, 0.941)
Se (0.233, 0.778, 0.999)
Se (0.767, 0.222, 0.001)
Se (0.772, 0.779, 0.059)
Se (0.778, 0.233, 0.499)
Se (0.779, 0.772, 0.559)

Output
Total DFT energy (no corrections) (eV/atom): -4.28
E_form (uncorrected) (eV/atom): -0.77
Space group: C2/c
V (Å³/atom): 23.4



# 4
## Mn2NiH2 (GGA-PBE)

Data for a relaxed Mn2NiH2 crystal.

Unit cell a=6.882 b=6.882 c=4.730 alpha=90.00 beta=90.00 gamma=158.77
Sites, in units of the cell vectors:
Mn (0.002, 0.998, 0.500)
Mn (0.174, 0.826, 0.755)
Mn (0.826, 0.174, 0.255)
Mn (0.998, 0.002, 0.000)
Ni (0.359, 0.641, 0.751)
Ni (0.641, 0.359, 0.251)
H (0.222, 0.778, 0.152)
H (0.444, 0.556, 0.254)
H (0.556, 0.444, 0.754)
H (0.778, 0.222, 0.652)

Output
Offset from the most stable computed form (meV per atom): 9.6
Total DFT energy (no corrections) (eV/atom): -6.03
Space group: Cmc2_1
V (Å³/atom): 8.1



# 5
## Mn2AlReH (GGA-PBE)

Data for a relaxed Mn2AlReH crystal.

Unit cell a=3.702 b=3.702 c=4.010 alpha=90.00 beta=90.00 gamma=90.00
Sites, in units of the cell vectors:
Mn (0.000, 0.500, 0.000)
Mn (0.500, 0.000, 0.000)
Al (0.000, 0.000, 0.500)
Re (0.500, 0.500, 0.500)
H (0.000, 0.000, 0.000)

Output
Offset from the most stable computed form (meV per atom): 51.3
Total DFT energy (no corrections) (eV/atom): -7.54
Space group: P4/mmm
V (Å³/atom): 11.0



# 6
## PuZn2Si (GGA-PBE)

Data for a relaxed PuZn2Si crystal.

Unit cell a=4.676 b=4.676 c=4.676 alpha=60.00 beta=60.00 gamma=60.00
Sites, in units of the cell vectors:
Pu (0.000, 0.000, 0.000)
Zn (0.250, 0.250, 0.250)
Zn (0.750, 0.750, 0.750)
Si (0.500, 0.500, 0.500)

Output
Offset from the most stable computed form (meV per atom): 156.3
Total DFT energy (no corrections) (eV/atom): -5.58
E_form (uncorrected) (eV/atom): 0.00
Space group: Fm-3m
V (Å³/atom): 18.1



# 7
## Na2HfMo (GGA-PBE)

Data for a relaxed Na2HfMo crystal.

Unit cell a=4.932 b=4.932 c=4.932 alpha=60.00 beta=60.00 gamma=60.00
Sites, in units of the cell vectors:
Na (0.250, 0.250, 0.250)
Na (0.750, 0.750, 0.750)
Hf (0.000, 0.000, 0.000)
Mo (0.500, 0.500, 0.500)

Output
Offset from the most stable computed form (meV per atom): 121.5
Total DFT energy (no corrections) (eV/atom): -4.45
Space group: Fm-3m
V (Å³/atom): 21.2
Formation enthalpy at 0 K (kJ/mol of formula units): 542



# 8
## RbTiSi2 (GGA-PBE)

Data for a relaxed RbTiSi2 crystal.

Unit cell a=4.927 b=4.927 c=4.927 alpha=60.00 beta=60.00 gamma=60.00
Sites, in units of the cell vectors:
Rb (0.000, 0.000, 0.000)
Ti (0.500, 0.500, 0.500)
Si (0.250, 0.250, 0.250)
Si (0.750, 0.750, 0.750)

Output
Offset from the most stable computed form (meV per atom): 442.6
Total DFT energy (no corrections) (eV/atom): -4.11
E_form (uncorrected) (eV/atom): 0.82
Space group: Fm-3m
V (Å³/atom): 21.1



# 9
## LiAcCdGe2 (GGA-PBE)

Data for a relaxed LiAcCdGe2 crystal.

Unit cell a=6.611 b=6.611 c=6.611 alpha=140.53 beta=140.53 gamma=57.05
Sites, in units of the cell vectors:
Li (0.000, 0.000, 0.000)
Ac (0.750, 0.250, 0.500)
Cd (0.500, 0.500, 0.000)
Ge (0.140, 0.640, 0.500)
Ge (0.360, 0.860, 0.500)

Output
Total DFT energy (no corrections) (eV/atom): -3.75
Space group: I-4m2
V (Å³/atom): 23.2
Formation enthalpy at 0 K (kJ/mol of formula units): -247



# 10
## Ca3ReBi (GGA-PBE)

Data for a relaxed Ca3ReBi crystal.

Unit cell a=5.455 b=5.455 c=5.455 alpha=90.00 beta=90.00 gamma=90.00
Sites, in units of the cell vectors:
Ca (0.000, 0.000, 0.500)
Ca (0.000, 0.500, 0.000)
Ca (0.500, 0.000, 0.000)
Re (0.000, 0.000, 0.000)
Bi (0.500, 0.500, 0.500)

Output
Offset from the most stable computed form (meV per atom): 0.0
Total DFT energy (no corrections) (eV/atom): -3.97
Space group: Pm-3m
V (Å³/atom): 32.5
Formation enthalpy at 0 K (kJ/mol of formula units): 238



# 11
## ReP2Pt (GGA-PBE)

Data for a relaxed ReP2Pt crystal.

Unit cell a=6.521 b=6.521 c=6.521 alpha=131.76 beta=131.76 gamma=70.61
Sites, in units of the cell vectors:
Re (0.000, 0.000, 0.000)
Re (0.750, 0.250, 0.500)
P (0.117, 0.625, 0.992)
P (0.375, 0.367, 0.492)
P (0.633, 0.125, 0.008)
P (0.875, 0.883, 0.508)
Pt (0.250, 0.750, 0.500)
Pt (0.500, 0.500, 0.000)

Output
Offset from the most stable computed form (meV per atom): 96.7
Total DFT energy (no corrections) (eV/atom): -7.45
Space group: I-42d
V (Å³/atom): 18.9
Formation enthalpy at 0 K (kJ/mol of formula units): -47



# 12
## ZnCo2Si (GGA-PBE)

Data for a relaxed ZnCo2Si crystal.

Unit cell a=2.628 b=2.628 c=7.162 alpha=90.00 beta=90.00 gamma=90.00
Sites, in units of the cell vectors:
Zn (0.000, 0.000, 0.000)
Co (0.000, 0.000, 0.474)
Co (0.500, 0.500, 0.251)
Si (0.500, 0.500, 0.684)

Output
Total DFT energy (no corrections) (eV/atom): -5.22
E_form (uncorrected) (eV/atom): 0.01
Space group: P4mm
V (Å³/atom): 12.4



Question: V of number 8 (RbTiSi2)?
Answer: 21.1 Å³/atom



Question: Look up the total DFT energy (no corrections) of the sixth one.
Answer: -5.58 eV/atom